Material: AlGaCu5
Method: DFT, PBE-GGA
State: optimized geometry

a b c (Å): 4.4129 4.4129 9.8054
angles (deg): 90.00 90.00 76.49
With the nearest neighbours (Å) after each atom.
Positions (direct):
Al (0.0000, 0.0000, 0.0000)  10 Cu 2.46-2.65
Al (0.0000, 0.0000, 0.5000)  10 Cu 2.46-2.65
Ga (0.3503, 0.6497, 0.7500)  5 Cu 2.35-2.50
Ga (0.6497, 0.3503, 0.2500)  5 Cu 2.35-2.50
Cu (0.0802, 0.9198, 0.2500)  1 Ga 2.35, 4 Cu 2.48, 2 Al 2.49
Cu (0.1622, 0.4383, 0.1105)  2 Al 2.46-2.65, 4 Cu 2.48-2.73, 2 Ga 2.50-2.75
Cu (0.1622, 0.4383, 0.3895)  2 Al 2.46-2.65, 4 Cu 2.48-2.73, 2 Ga 2.50-2.75
Cu (0.4383, 0.1622, 0.6105)  2 Al 2.46-2.65, 4 Cu 2.48-2.73, 2 Ga 2.50-2.75
Cu (0.4383, 0.1622, 0.8895)  2 Al 2.46-2.65, 4 Cu 2.48-2.73, 2 Ga 2.50-2.75
Cu (0.5617, 0.8378, 0.1105)  2 Al 2.46-2.65, 4 Cu 2.48-2.73, 2 Ga 2.50-2.75
Cu (0.5617, 0.8378, 0.3895)  2 Al 2.46-2.65, 4 Cu 2.48-2.73, 2 Ga 2.50-2.75
Cu (0.8378, 0.5617, 0.6105)  2 Al 2.46-2.65, 4 Cu 2.48-2.73, 2 Ga 2.50-2.75
Cu (0.8378, 0.5617, 0.8895)  2 Al 2.46-2.65, 4 Cu 2.48-2.73, 2 Ga 2.50-2.75
Cu (0.9198, 0.0802, 0.7500)  1 Ga 2.35, 4 Cu 2.48, 2 Al 2.49

Summary:
V in Å³/atom: 13.3
Total magnetization in μB/atom: 0.0000
Formation energy from the elements in kJ per mole of atoms: -8.5
Crystal system: orthorhombic